Entry from Alexandria via LeMat-Bulk: a relaxed structure of LaOsW (PBE-GGA).

## Properties
space group: No. 216
density: 12.24 g/cm³
energy of formation: 0.82 eV per atom

Cell: 4.6164 4.6164 4.6164 Å, 60.00 60.00 60.00°
Closest atoms and distances in Å follow each position.
Sites, in units of the cell vectors:
La  0.5000  0.5000  0.5000  4 Os 2.83
Os  0.2500  0.2500  0.2500  4 La 2.83, 4 W 2.83
W  0.0000  0.0000  0.0000  4 Os 2.83